VASP calculation (PBE+U) on a relaxed structure of Cs4LiMn3F12.

It has space group Im-3m (No. 229), with a = 8.733 Å, b = 8.733 Å, c = 8.733 Å, α = 90.00°, β = 90.00° and γ = 90.00°. Symmetry generates all atoms from Cs at (0.250, 0.250, 0.250), Li at (0.000, 0.000, 0.000), Mn at (0.000, 0.000, 0.500), F at (0.000, 0.000, 0.268) and F at (0.000, 0.250, 0.500).

The calculation puts the magnetic moment at 28.00 Bohr magnetons per cell. Its total energy is -5.22 eV/atom. The value obtained for the theoretical density is 4.644 g/cm3. The value obtained for the density of states at the Fermi level is 12.02 states/eV/cell.